Computed, not measured: crystalline Be3BiSb at its relaxed geometry at the PBE-GGA level of DFT.

```
Be3BiSb
1.0
4.724 0.000 0.000
0.000 4.724 0.000
0.000 0.000 4.724
Be Bi Sb
3 1 1
Cartesian
0.000 0.000 2.362
2.362 0.000 0.000
0.000 2.362 0.000
2.362 2.362 2.362
0.000 0.000 0.000
```

Values from the calculation:
Its density of states at the Fermi level is 0.8011 states/eV/atom. The energy above the most stable polymorph in this dataset is 0 kJ/mol of formula units. For the energy relative to the elements, uncorrected, the calculation gives 1.05 eV/atom. Its symmetry is No. 221. The value obtained for the raw total energy is -13.91 eV per cell. The calculation puts the magnetic moment at 0.00 μB per formula unit.